Computed, not measured: crystalline K6Fe2O5 at its relaxed geometry at the GGA+U level of DFT.

Summary:
**Total magnetic moment**: 0.6138 μB/atom
**VASP energy**: -4.578 eV/atom

abc: 6.9417 11.6632 6.7831
angles: 90.00 91.05 90.00
With the nearest neighbours (Å) after each atom.
Space group Cm (No. 8)
Inequivalent atoms, fractional coordinates:
K: 0.0000 0.0000 0.0000 x2  3 O 2.69-2.89
K: 0.1487 0.2601 0.3167 x4  3 O 2.68-2.86
K: 0.1517 0.2856 0.8231 x4  4 O 2.61-2.80
K: 0.2900 0.0000 0.6422 x2  2 O 2.85, 1 Fe 3.13, 1 K 3.18
Fe: 0.3603 0.5000 0.4934 x2  3 O 1.89-1.94
Fe: 0.4554 0.0000 0.1232 x2  3 O 1.89-1.94
O: 0.2061 0.5000 0.2527 x2  2 Fe 1.94
O: 0.3406 0.1402 0.0462 x4  1 Fe 1.89
O: 0.4548 0.3603 0.5998 x4  1 Fe 1.89